Entry 1:
## RbSrBi (GGA-PBE)

Data for a geometry-optimized RbSrBi structure.

```
RbSrBi
1.0
4.6758 0.0000 0.0000
0.0000 4.6758 0.0000
0.0000 0.0000 13.4643
Rb Sr Bi
2 2 2
direct
0.0000 0.0000 0.0000
0.5000 0.5000 0.5000
0.0000 0.0000 0.7345
0.5000 0.5000 0.2345
0.0000 0.0000 0.2929
0.5000 0.5000 0.7929
```

V, A^3/atom: 49.062
Magnetic moment, μB per atom: 0.000
Formation energy, kcal/mol of atoms: -10.45

Entry 2:
## Rb2SrBi (GGA-PBE)

Data for a geometry-optimized Rb2SrBi structure.

```
Rb2SrBi
1.0
5.2498 0.0000 0.0000
0.0000 5.2498 0.0000
0.0000 0.0000 28.3873
Rb Sr Bi
8 4 4
direct
0.2253 0.2500 0.1250
0.2500 0.7253 0.3750
0.2500 0.7747 0.8750
0.2747 0.2500 0.6250
0.7253 0.7500 0.6250
0.7500 0.2253 0.8750
0.7500 0.2747 0.3750
0.7747 0.7500 0.1250
0.0000 0.0000 0.5000
0.0000 0.5000 0.7500
0.5000 0.0000 0.2500
0.5000 0.5000 0.0000
0.0000 0.0000 0.0000
0.0000 0.5000 0.2500
0.5000 0.0000 0.7500
0.5000 0.5000 0.5000
```

V, A^3/atom: 48.898
Magnetic moment, μB per atom: 0.141
Formation energy, kcal/mol of atoms: -2.88

Entry 3:
## Rb2SrBi2 (GGA-PBE)

Data for a geometry-optimized Rb2SrBi2 structure.

```
Rb2SrBi2
1.0
10.4437 0.0000 0.0000
0.0000 10.4437 0.0000
0.0000 0.0000 3.8435
Rb Sr Bi
4 2 4
direct
0.1131 0.3869 0.0000
0.3869 0.8869 0.0000
0.6131 0.1131 0.0000
0.8869 0.6131 0.0000
0.0000 0.0000 0.0000
0.5000 0.5000 0.0000
0.1865 0.6865 0.5000
0.3135 0.1865 0.5000
0.6865 0.8135 0.5000
0.8135 0.3135 0.5000
```

V, A^3/atom: 41.921
Magnetic moment, μB per atom: 0.000
Polymorph energy (0 for the lowest one), eV/atom: 0.226
Formation energy, kcal/mol of atoms: -4.59